The following is a GGA-PBE calculation of PaTePb after structural relaxation, from Alexandria.

* formation energy from raw total energies: -0.116 eV/atom
* size of the total moment: 0.00 μB per atom

```
6
Lattice="15.415 0.000 0.000 0.000 1.830 3.170 0.000 -1.830 3.170" Properties=species:S:1:pos:R:3 pbc="T T T"
Pa 0.000 0.000 0.000
Pa 7.707 0.000 0.034
Te 2.213 0.000 2.112
Te 13.202 0.000 2.112
Pb 5.051 0.000 4.257
Pb 10.364 0.000 4.257
```